First-principles (PBE) data for crystalline UTl2CdS4 at its relaxed geometry, as listed in Alexandria via LeMat-Bulk.

Results
Formation energy from raw total energies = -0.797 eV/atom
E_tot = -4.977 eV/atom
D(E_F) = 3.96 states/eV/f.u.

a = 4.015 Å, b = 6.851 Å, c = 7.941 Å
α = 108.00°, β = 90.00°, γ = 90.00°
Each line ends with the local moment (μB).
Element x y z (fractional)
1 Cd 0.000 0.000 0.000  0.00
2 Tl 0.500 0.000 0.500  0.00
3 Tl 0.000 0.500 0.500  0.00
4 U 0.500 0.500 0.000  2.04
5 S 0.500 0.237 0.193  -0.04
6 S 0.500 0.763 0.807  -0.04
7 S 0.000 0.282 0.796  -0.05
8 S 0.000 0.718 0.204  -0.05

First-principles (PBE) data for crystalline UTl3Cd2S6 at its relaxed geometry, as listed in Alexandria via LeMat-Bulk.

Results
Formation energy from raw total energies = -0.714 eV/atom
E_tot = -4.463 eV/atom
D(E_F) = 0.70 states/eV/f.u.

a = 6.816 Å, b = 6.816 Å, c = 7.875 Å
α = 98.05°, β = 98.05°, γ = 120.25°
Each line ends with the local moment (μB).
Element x y z (fractional)
1 S 0.932 0.614 0.801  -0.03
2 S 0.751 0.751 0.206  -0.03
3 S 0.249 0.249 0.794  -0.03
4 S 0.068 0.386 0.199  -0.03
5 S 0.386 0.068 0.199  -0.03
6 S 0.614 0.932 0.801  -0.03
7 Cd 0.666 0.334 0.000  0.00
8 Cd 0.334 0.666 0.000  0.00
9 Tl 0.169 0.831 0.500  -0.01
10 Tl 0.500 0.500 0.500  -0.01
11 Tl 0.831 0.169 0.500  -0.01
12 U 0.000 0.000 0.000  1.24

First-principles (PBE) data for crystalline Tl2VCdS4 at its relaxed geometry, as listed in Alexandria via LeMat-Bulk.

Results
Formation energy from raw total energies = -0.516 eV/atom
E_tot = -4.426 eV/atom
D(E_F) = 2.50 states/eV/f.u.

a = 6.056 Å, b = 7.191 Å, c = 12.139 Å
α = 83.97°, β = 75.55°, γ = 65.09°
Each line ends with the local moment (μB).
Element x y z (fractional)
1 Cd 0.000 0.000 0.000  0.01
2 Cd 0.750 0.500 0.500  0.01
3 S 0.866 0.793 0.894  -0.03
4 S 0.408 0.707 0.394  -0.03
5 S 0.510 0.293 0.606  -0.03
6 S 0.552 0.207 0.106  -0.03
7 S 0.240 0.207 0.894  -0.03
8 S 0.198 0.293 0.394  -0.03
9 S 0.884 0.707 0.606  -0.03
10 S 0.342 0.793 0.106  -0.03
11 V 0.250 0.500 0.500  0.97
12 V 0.500 0.000 0.000  0.97
13 Tl 0.558 0.500 0.885  0.01
14 Tl 0.808 0.000 0.385  0.01
15 Tl 0.192 0.000 0.615  0.01
16 Tl 0.942 0.500 0.115  0.01

First-principles (PBE) data for crystalline ZrTl2CdS4 at its relaxed geometry, as listed in Alexandria via LeMat-Bulk.

Results
Formation energy from raw total energies = -0.836 eV/atom
E_tot = -4.674 eV/atom

a = 3.847 Å, b = 7.817 Å, c = 6.900 Å
α = 72.06°, β = 90.00°, γ = 90.00°
Element x y z (fractional)
1 S 0.500 0.300 0.709
2 S 0.500 0.700 0.291
3 S 0.000 0.687 0.755
4 S 0.000 0.313 0.245
5 Tl 0.000 0.000 0.000
6 Tl 0.500 0.000 0.500
7 Zr 0.000 0.500 0.500
8 Cd 0.500 0.500 0.000

First-principles (PBE) data for crystalline ZrTl3Cd2S6 at its relaxed geometry, as listed in Alexandria via LeMat-Bulk.

Results
Formation energy from raw total energies = -0.655 eV/atom
E_tot = -4.176 eV/atom
D(E_F) = 4.13 states/eV/f.u.

a = 6.859 Å, b = 6.859 Å, c = 7.513 Å
α = 98.80°, β = 98.80°, γ = 120.33°
Element x y z (fractional)
1 Cd 0.665 0.335 0.000
2 Cd 0.335 0.665 0.000
3 Tl 0.168 0.832 0.500
4 Tl 0.500 0.500 0.500
5 Tl 0.832 0.168 0.500
6 S 0.615 0.931 0.798
7 S 0.245 0.245 0.792
8 S 0.385 0.069 0.202
9 S 0.069 0.385 0.202
10 S 0.755 0.755 0.208
11 S 0.931 0.615 0.798
12 Zr 0.000 0.000 0.000

First-principles (PBE) data for crystalline Tm2CdS at its relaxed geometry, as listed in Alexandria via LeMat-Bulk.

Results
Formation energy from raw total energies = -0.720 eV/atom
E_tot = -4.216 eV/atom
D(E_F) = 3.32 states/eV/f.u.

a = 3.623 Å, b = 3.623 Å, c = 9.727 Å
α = 79.27°, β = 79.27°, γ = 60.00°
Element x y z (fractional)
1 Cd 0.000 0.000 0.000
2 S 0.500 0.500 0.500
3 Tm 0.109 0.109 0.672
4 Tm 0.891 0.891 0.328

First-principles (PBE) data for crystalline Tm6CdS3 at its relaxed geometry, as listed in Alexandria via LeMat-Bulk.

Results
Formation energy from raw total energies = -1.183 eV/atom
E_tot = -5.196 eV/atom
D(E_F) = 6.34 states/eV/f.u.

a = 3.759 Å, b = 11.646 Å, c = 11.685 Å
α = 110.35°, β = 90.00°, γ = 90.00°
Element x y z (fractional)
1 S 0.250 0.275 0.719
2 S 0.750 0.725 0.281
3 S 0.250 0.042 0.141
4 S 0.750 0.365 0.491
5 S 0.250 0.635 0.509
6 S 0.750 0.958 0.859
7 Tm 0.250 0.064 0.765
8 Tm 0.250 0.637 0.108
9 Tm 0.750 0.153 0.057
10 Tm 0.750 0.759 0.664
11 Tm 0.750 0.524 0.346
12 Tm 0.750 0.144 0.548
13 Tm 0.250 0.847 0.943
14 Tm 0.250 0.241 0.336
15 Tm 0.250 0.476 0.654
16 Tm 0.750 0.936 0.235
17 Tm 0.250 0.856 0.452
18 Tm 0.750 0.363 0.892
19 Cd 0.250 0.379 0.127
20 Cd 0.750 0.621 0.873

First-principles (PBE) data for crystalline TmCdS at its relaxed geometry, as listed in Alexandria via LeMat-Bulk.

Results
Formation energy from raw total energies = -1.048 eV/atom
E_tot = -4.220 eV/atom
D(E_F) = 0.99 states/eV/f.u.

a = 4.684 Å, b = 4.684 Å, c = 8.008 Å
α = 72.99°, β = 72.99°, γ = 60.00°
Element x y z (fractional)
1 Tm 0.592 0.592 0.223
2 Tm 0.408 0.408 0.777
3 S 0.287 0.287 0.140
4 S 0.713 0.713 0.860
5 Cd 0.840 0.840 0.481
6 Cd 0.160 0.160 0.519

First-principles (PBE) data for crystalline UCdS4 at its relaxed geometry, as listed in Alexandria via LeMat-Bulk.

Results
Formation energy from raw total energies = -0.841 eV/atom
E_tot = -5.627 eV/atom

a = 4.007 Å, b = 6.317 Å, c = 6.414 Å
α = 88.34°, β = 90.00°, γ = 90.00°
Element x y z (fractional)
1 S 0.000 0.231 0.368
2 S 0.500 0.777 0.184
3 S 0.500 0.223 0.816
4 S 0.000 0.769 0.632
5 Cd 0.000 0.000 0.000
6 U 0.500 0.000 0.500

First-principles (PBE) data for crystalline UCdS3 at its relaxed geometry, as listed in Alexandria via LeMat-Bulk.

Results
Formation energy from raw total energies = -0.891 eV/atom
E_tot = -5.808 eV/atom
D(E_F) = 2.83 states/eV/f.u.

a = 3.651 Å, b = 6.403 Å, c = 6.575 Å
α = 60.84°, β = 89.98°, γ = 106.57°
Each line ends with the local moment (μB).
Element x y z (fractional)
1 U 0.192 0.109 0.061  2.02
2 Cd 0.332 0.389 0.446  0.01
3 S 0.693 0.112 0.361  -0.05
4 S 0.850 0.426 0.729  -0.05
5 S 0.534 0.793 0.047  -0.06

First-principles (PBE) data for crystalline UCdS2 at its relaxed geometry, as listed in Alexandria via LeMat-Bulk.

Results
Formation energy from raw total energies = -0.888 eV/atom
E_tot = -6.003 eV/atom
D(E_F) = 3.72 states/eV/f.u.

a = 3.966 Å, b = 3.966 Å, c = 9.030 Å
α = 77.31°, β = 77.31°, γ = 60.00°
Each line ends with the local moment (μB).
Element x y z (fractional)
1 Cd 0.503 0.503 0.490  -0.03
2 S 0.279 0.279 0.164  -0.07
3 S 0.053 0.053 0.842  -0.07
4 U 0.665 0.665 0.004  2.03

First-principles (PBE) data for crystalline UCdS2 at its relaxed geometry, as listed in Alexandria via LeMat-Bulk.

Results
Formation energy from raw total energies = -0.884 eV/atom
E_tot = -5.998 eV/atom
D(E_F) = 3.60 states/eV/f.u.

a = 3.921 Å, b = 3.921 Å, c = 9.760 Å
α = 78.41°, β = 78.41°, γ = 60.00°
Each line ends with the local moment (μB).
Element x y z (fractional)
1 S 0.884 0.884 0.347  -0.07
2 S 0.116 0.116 0.653  -0.07
3 Cd 0.000 0.000 0.000  -0.03
4 U 0.500 0.500 0.500  2.05

| no. | ρ (Mg/m³) |
| --- | --- |
| 1 | 7.09 |
| 2 | 6.94 |
| 3 | 5.01 |
| 4 | 6.23 |
| 5 | 6.41 |
| 6 | 7.42 |
| 7 | 8.46 |
| 8 | 7.27 |
| 9 | 4.90 |
| 10 | 5.85 |
| 11 | 5.78 |
| 12 | 5.45 |